#A
Compound: TiNb6W2
Source: Alexandria via LeMat-Bulk
Functional: PBE-GGA
Structure: relaxed

```
9
Lattice="2.3311 1.3458 8.9336 -2.3311 1.3458 8.9336 0.0000 -2.6917 8.9336" Properties=species:S:1:pos:R:3 pbc="T T T"
Ti 0.0000 0.0000 0.0000
Nb 0.0000 0.0000 5.2412
Nb 0.0000 0.0000 7.9998
Nb 0.0000 0.0000 10.8809
Nb 0.0000 0.0000 15.9200
Nb 0.0000 0.0000 18.8011
Nb 0.0000 0.0000 21.5596
W 0.0000 0.0000 2.6522
W 0.0000 0.0000 24.1487
```


#B
Compound: TiNb6W2
Source: Alexandria via LeMat-Bulk
Functional: PBE-GGA
Structure: relaxed

```
9
Lattice="2.6023 -7.1597 0.0000 2.6023 7.1597 0.0000 -1.9104 0.0000 4.2909" Properties=species:S:1:pos:R:3 pbc="T T T"
Ti 0.0000 0.0000 0.0000
Nb 1.3890 2.3822 0.7336
Nb 0.4701 0.0000 2.8564
Nb 1.3890 -2.3822 0.7336
Nb 1.9052 2.3822 3.5573
Nb 2.8240 0.0000 1.4346
Nb 1.9052 -2.3822 3.5573
W 1.6471 4.9030 2.1455
W 1.6471 -4.9030 2.1455
```


Preferred: #B; penalty for the next structure: 144 meV per atom.